## CsCo2BiF8 (PBE with a Hubbard U)

Data for a relaxed CsCo2BiF8 crystal.

abc: 4.9093 5.1600 9.1198
angles: 94.56 93.04 92.88
Space group P-1 (No. 2)
Asymmetric unit:
Cs: 0.0000 0.0000 0.0000 [1 per cell]
Co: 0.4932 0.5433 0.6855 [2 per cell]
Bi: 0.0000 0.0000 0.5000 [1 per cell]
F: 0.1473 0.2572 0.3275 [2 per cell]
F: 0.2180 0.2485 0.6926 [2 per cell]
F: 0.3548 0.7124 0.4923 [2 per cell]
F: 0.4420 0.7162 0.8684 [2 per cell]

Calculated volume   19.14 A^3/atom
Final energy   -4.77 eV per atom
Magnetization   6.002 μB per formula unit